Record 1
Te2RuPt: PBEsol geometry, SCAN.

Output
ΔE_f (raw) = 120 kJ/mol of formula units
total magnetic moment = 0.00 μB per formula unit

Geometry as POSCAR:
```
Te2RuPt
1.0
3.3154 0.0000 0.0000
0.0000 4.7259 0.0000
0.0000 0.0000 4.7259
Ru Te Pt
1 2 1
direct
0.5000 0.0000 0.0000 Ru
0.0000 0.0000 0.5000 Te
0.0000 0.5000 0.0000 Te
0.5000 0.5000 0.5000 Pt
```


Record 2
TeRuPt: PBEsol geometry, SCAN.

Output
ΔE_f (raw) = 118 kJ/mol of formula units
total magnetic moment = 0.00 μB per formula unit

Geometry as POSCAR:
```
TeRuPt
1.0
-2.0954 -0.2429 2.3111
1.0818 -2.5764 -1.4082
4.5252 -0.3239 4.0687
Ru Pt Te
1 1 1
direct
0.3333 0.6667 0.6581 Ru
0.0000 0.0000 0.9961 Pt
0.6667 0.3333 0.3458 Te
```


Record 3
TeRuPt2: PBEsol geometry, SCAN.

Output
ΔE_f (raw) = 92 kJ/mol of formula units
total magnetic moment = 1.32 μB per formula unit

Geometry as POSCAR:
```
TeRuPt2
1.0
4.5074 0.0000 0.0000
2.2537 3.9035 0.0000
2.2537 1.3012 3.6803
Pt Ru Te
2 1 1
direct
0.7500 0.7500 0.7500 Pt
0.0000 0.0000 0.0000 Pt
0.5000 0.5000 0.5000 Ru
0.2500 0.2500 0.2500 Te
```


Record 4
Te3RuPt: PBEsol geometry, SCAN.

Output
ΔE_f (raw) = 448 kJ/mol of formula units
total magnetic moment = 0.00 μB per formula unit

Geometry as POSCAR:
```
Te3RuPt
1.0
-4.4184 1.5843 -1.7795
0.7299 -2.6690 -4.1885
-2.2681 -3.9453 2.1188
Ru Pt Te
1 1 3
direct
0.0000 0.0000 0.0000 Ru
0.5000 0.5000 0.5000 Pt
0.0000 0.5000 0.0000 Te
0.0000 0.0000 0.5000 Te
0.5000 0.0000 0.0000 Te
```


Record 5
Ti3RuPt: PBEsol geometry, SCAN.

Output
total magnetic moment = 0.00 μB per formula unit
energy of formation from the pure elements = 605.9 meV/atom

Geometry as POSCAR:
```
Ti3RuPt
1.0
4.6422 0.0000 0.0000
0.0000 4.6422 0.0000
0.0000 0.0000 4.6422
Ti Ru Pt
3 1 1
direct
0.0000 0.0000 0.5000 Ti
0.0000 0.5000 0.0000 Ti
0.5000 0.0000 0.0000 Ti
0.5000 0.5000 0.5000 Ru
0.0000 0.0000 0.0000 Pt
```


Record 6
YTiRuPt2: PBEsol geometry, SCAN.

Output
total magnetic moment = 1.45 μB per formula unit
energy of formation from the pure elements = 747.0 meV/atom

Geometry as POSCAR:
```
YTiRuPt2
1.0
4.5208 0.0000 0.0000
0.0000 4.5208 0.0000
0.0000 0.0000 4.9170
Y Pt Ru Ti
1 2 1 1
direct
0.0000 0.0000 0.5000 Y
0.0000 0.5000 0.0000 Pt
0.5000 0.0000 0.0000 Pt
0.5000 0.5000 0.5000 Ru
0.0000 0.0000 0.0000 Ti
```


Record 7
TiZn2RuPt: PBEsol geometry, SCAN.

Output
total magnetic moment = 0.00 μB per formula unit
energy of formation from the pure elements = 1157.7 meV/atom

Geometry as POSCAR:
```
TiZn2RuPt
1.0
-3.8580 1.6978 -0.3570
-0.9357 -1.2068 4.3727
1.6532 4.0670 1.4762
Ti Ru Zn Pt
1 1 2 1
direct
0.0000 0.0000 0.0000 Ti
0.5000 0.0000 0.0000 Ru
0.0000 0.5000 0.0000 Zn
0.0000 0.0000 0.5000 Zn
0.5000 0.5000 0.5000 Pt
```


Record 8
Tl2RuPt: PBEsol geometry, SCAN.

Output
total magnetic moment = 0.00 μB per formula unit
energy of formation from the pure elements = 490.0 meV/atom

Geometry as POSCAR:
```
Tl2RuPt
1.0
3.2679 0.0000 0.0000
-1.6340 4.3377 0.0130
0.0000 -1.2769 5.1774
Ru Pt Tl
1 1 2
direct
0.5000 0.0000 0.0000 Ru
0.0000 0.0000 0.5000 Pt
0.2486 0.4972 0.2460 Tl
0.7514 0.5028 0.7540 Tl
```


The highest total magnetic moment belongs to which entry?
YTiRuPt2


Which value of total magnetic moment does entry 3 give?
1.32 μB per formula unit